Record 1
5
Lattice="5.148 0.000 0.000 0.000 5.148 0.000 0.000 0.000 5.128" Properties=species:S:1:pos:R:3 comment="GGA-PBE NbVAsBr2, optimized geometry" energy_ev_per_atom=-4.9319 formation_energy_uncorrected_mev_per_atom=504.8 relative_energy_mev_per_atom=0 magnetic_moment_mub_per_fu=4.26 pbc="T T T"
Nb 0.000 0.000 0.000
As 0.000 0.000 2.564
Br 0.000 2.574 0.000
Br 2.574 0.000 0.000
V 2.574 2.574 2.564

***

Record 2
12
Lattice="5.093 0.000 0.000 2.546 7.353 0.896 2.546 1.100 6.792" Properties=species:S:1:pos:R:3 comment="GGA-PBE Mg7AlAg4, optimized geometry" delta_e_f_mev_per_atom=-2 energy_ev_per_atom=-2.1949 magnetic_moment_mub_per_fu=0.00 pbc="T T T"
Mg 7.639 7.013 4.348
Mg 2.546 1.440 3.341
Mg 2.546 4.607 2.312
Mg 7.639 3.847 5.376
Mg 5.093 6.152 5.954
Mg 2.546 0.000 0.000
Mg 5.093 2.301 1.735
Al 0.000 0.000 0.000
Ag 5.093 2.740 4.406
Ag 5.093 5.714 3.282
Ag 7.639 5.818 7.292
Ag 2.546 2.635 0.396

***

Record 3
9
Lattice="-2.047 -2.766 -0.554 0.916 -1.730 5.249 -10.842 12.982 -2.797" Properties=species:S:1:pos:R:3 comment="GGA-PBE SmY2Ho6, optimized geometry" delta_e_f_mev_per_atom=68 energy_ev_per_atom=-4.9446 relative_energy_mev_per_atom=46 magnetic_moment_mub_per_fu=0.00 pbc="T T T"
Sm -5.986 4.243 0.949
Y -10.288 7.648 -0.167
Y -1.685 0.837 2.065
Ho -11.005 10.748 -2.010
Ho -0.967 -2.263 3.907
Ho -4.431 1.158 -0.340
Ho -6.712 7.344 -0.891
Ho -7.542 7.327 2.237
Ho -5.260 1.141 2.789

***

Record 4
4
Lattice="5.042 0.000 0.000 0.000 4.800 0.000 0.000 0.000 4.800" Properties=species:S:1:pos:R:3 comment="GGA-PBE YTmPu2, optimized geometry" delta_e_f_mev_per_atom=179 energy_ev_per_atom=-9.7213 relative_energy_mev_per_atom=14 magnetic_moment_mub_per_fu=12.87 pbc="T T T"
Y 2.521 2.400 2.400
Tm 2.521 0.000 0.000
Pu 0.000 0.000 2.400
Pu 0.000 2.400 0.000

***

Record 5
12
Lattice="-0.715 3.108 -4.750 -4.954 -2.750 -0.796 -0.518 4.776 6.520" Properties=species:S:1:pos:R:3 comment="GGA-PBE Pa2Si3Pd, optimized geometry" energy_ev_per_atom=-7.3891 formation_energy_uncorrected_mev_per_atom=-646.9 magnetic_moment_mub_per_fu=0.00 pbc="T T T"
Pa -4.153 1.102 1.475
Pa -4.286 0.271 -4.193
Pa -2.034 4.032 -0.502
Pa -1.383 0.087 -1.354
Si -4.477 -0.493 -1.138
Si -3.878 2.632 4.134
Si -1.710 5.627 2.111
Si -2.309 2.502 -3.160
Si -1.125 1.663 1.258
Si -5.061 3.470 -0.284
Pd -3.922 1.787 -1.557
Pd -2.265 3.347 2.531

***

Record 6
4
Lattice="-4.355 2.609 2.348 -4.640 0.934 -2.981 -4.679 -2.844 1.144" Properties=species:S:1:pos:R:3 comment="GGA-PBE SmDyTmPu, optimized geometry" delta_e_f_mev_per_atom=200 energy_ev_per_atom=-6.8311 magnetic_moment_mub_per_fu=6.48 pbc="T T T"
Tm 0.000 0.000 0.000
Dy -6.837 0.349 0.255
Sm -3.419 0.175 0.128
Pu -10.256 0.524 0.383